(1)
# PBE-GGA InAs2Ru, relaxed
# Total magnetization in μB per cell: 0.00
# Fermi-level density of states in states/eV per cell: 4.84
# Energy of formation from the pure elements in eV per atom: -0.007
data_InAs2Ru
_cell_length_a 7.113
_cell_length_b 3.037
_cell_length_c 7.682
_cell_angle_alpha 90.00
_cell_angle_beta 91.43
_cell_angle_gamma 90.00
_symmetry_space_group_name_H-M 'C 1 2/m 1'
_symmetry_Int_Tables_number 12
_symmetry_space_group_name_Hall '-C 2y'
loop_
_atom_site_label
_atom_site_fract_x
_atom_site_fract_y
_atom_site_fract_z
In1 0.000 0.000 0.000
As1 0.207 0.000 0.679
Ru1 0.000 0.500 0.500

=====

(2)
# PBE-GGA InAs2Ru, relaxed
# Total magnetization in μB per cell: 0.00
# Fermi-level density of states in states/eV per cell: 4.79
# Energy of formation from the pure elements in eV per atom: 0.319
data_InAs2Ru
_cell_length_a 5.576
_cell_length_b 7.654
_cell_length_c 3.411
_cell_angle_alpha 90.00
_cell_angle_beta 90.00
_cell_angle_gamma 90.00
_symmetry_space_group_name_H-M 'C m m m'
_symmetry_Int_Tables_number 65
_symmetry_space_group_name_Hall '-C 2 2'
loop_
_atom_site_label
_atom_site_fract_x
_atom_site_fract_y
_atom_site_fract_z
In1 0.000 0.000 0.000
As1 0.250 0.250 0.500
Ru1 0.000 0.500 0.000

=====

(3)
# PBE-GGA In2AsRu, relaxed
# Total magnetization in μB per cell: 0.00
# Fermi-level density of states in states/eV per cell: 1.44
# Energy of formation from the pure elements in eV per atom: 0.257
data_In2AsRu
_cell_length_a 4.686
_cell_length_b 4.686
_cell_length_c 3.483
_cell_angle_alpha 90.00
_cell_angle_beta 90.00
_cell_angle_gamma 90.00
_symmetry_space_group_name_H-M 'P 4/m m m'
_symmetry_Int_Tables_number 123
_symmetry_space_group_name_Hall '-P 4 2'
loop_
_atom_site_label
_atom_site_fract_x
_atom_site_fract_y
_atom_site_fract_z
In1 0.000 0.500 0.000
As1 0.000 0.000 0.500
Ru1 0.500 0.500 0.500

=====

(4)
# PBE-GGA InAsRu2, relaxed
# Total magnetization in μB per cell: 0.00
# Fermi-level density of states in states/eV per cell: 7.18
# Energy of formation from the pure elements in eV per atom: 0.208
data_InAsRu2
_cell_length_a 3.094
_cell_length_b 5.138
_cell_length_c 8.397
_cell_angle_alpha 90.00
_cell_angle_beta 90.00
_cell_angle_gamma 90.00
_symmetry_space_group_name_H-M 'I m m m'
_symmetry_Int_Tables_number 71
_symmetry_space_group_name_Hall '-I 2 2'
loop_
_atom_site_label
_atom_site_fract_x
_atom_site_fract_y
_atom_site_fract_z
In1 0.000 0.000 0.000
As1 0.000 0.000 0.500
Ru1 0.000 0.500 0.221

=====

(5)
# PBE-GGA InAsRu2, relaxed
# Total magnetization in μB per cell: 0.00
# Fermi-level density of states in states/eV per cell: 4.46
# Energy of formation from the pure elements in eV per atom: 0.071
data_InAsRu2
_cell_length_a 8.024
_cell_length_b 3.034
_cell_length_c 5.555
_cell_angle_alpha 90.00
_cell_angle_beta 100.94
_cell_angle_gamma 90.00
_symmetry_space_group_name_H-M 'C 1 2/m 1'
_symmetry_Int_Tables_number 12
_symmetry_space_group_name_Hall '-C 2y'
loop_
_atom_site_label
_atom_site_fract_x
_atom_site_fract_y
_atom_site_fract_z
In1 0.000 0.000 0.000
As1 0.000 0.500 0.500
Ru1 0.246 0.000 0.705

=====

(6)
# PBE-GGA In2AsRu, relaxed
# Total magnetization in μB per cell: 0.00
# Fermi-level density of states in states/eV per cell: 7.17
# Energy of formation from the pure elements in eV per atom: 0.000
data_In2AsRu
_cell_length_a 3.3390
_cell_length_b 3.3390
_cell_length_c 26.1565
_cell_angle_alpha 90.00
_cell_angle_beta 90.00
_cell_angle_gamma 120.00
_symmetry_space_group_name_H-M 'R 3 m'
_symmetry_Int_Tables_number 160
_symmetry_space_group_name_Hall 'R 3 -2"'
loop_
_atom_site_label
_atom_site_fract_x
_atom_site_fract_y
_atom_site_fract_z
In1 0.0000 0.0000 0.0000
In2 0.0000 0.0000 0.2332
As1 0.0000 0.0000 0.4691
Ru1 0.0000 0.0000 0.7458

=====

(7)
# PBE-GGA In2AsRu, relaxed
# Total magnetization in μB per cell: 0.00
# Fermi-level density of states in states/eV per cell: 19.55
# Energy of formation from the pure elements in eV per atom: 0.407
data_In2AsRu
_cell_length_a 6.769
_cell_length_b 6.769
_cell_length_c 6.769
_cell_angle_alpha 90.00
_cell_angle_beta 90.00
_cell_angle_gamma 90.00
_symmetry_space_group_name_H-M 'F -4 3 m'
_symmetry_Int_Tables_number 216
_symmetry_space_group_name_Hall 'F -4 2 3'
loop_
_atom_site_label
_atom_site_fract_x
_atom_site_fract_y
_atom_site_fract_z
In1 0.000 0.000 0.000
In2 0.250 0.250 0.250
As1 0.000 0.000 0.500
Ru1 0.250 0.250 0.750

=====

(8)
# PBE-GGA In2As2Ru, relaxed
# Total magnetization in μB per cell: 0.00
# Fermi-level density of states in states/eV per cell: 5.88
# Energy of formation from the pure elements in eV per atom: 0.034
data_In2As2Ru
_cell_length_a 6.338
_cell_length_b 6.338
_cell_length_c 5.363
_cell_angle_alpha 90.00
_cell_angle_beta 90.00
_cell_angle_gamma 90.00
_symmetry_space_group_name_H-M 'P 4/m b m'
_symmetry_Int_Tables_number 127
_symmetry_space_group_name_Hall '-P 4 2ab'
loop_
_atom_site_label
_atom_site_fract_x
_atom_site_fract_y
_atom_site_fract_z
In1 0.186 0.314 0.000
As1 0.143 0.643 0.500
Ru1 0.000 0.000 0.500